LaCrCO2, optimized geometry, DFT PBE with a Hubbard U; total magnetization = 0.76 μB/f.u.; SG = P4/mmm; total energy = -5.10 eV per atom
1.0
4.184 0.000 0.000
0.000 4.184 0.000
0.000 0.000 4.349
La Cr C O
1 1 1 2
Direct
0.000 0.000 0.000
0.500 0.500 0.000
0.000 0.000 0.500
0.000 0.500 0.500
0.500 0.000 0.500